This record from the Alexandria database describes an optimized crystal structure of CaLa2Co2Sb2Pb2O12. The functional is GGA+U.

a = 5.6992 Å, b = 5.9433 Å, c = 9.8643 Å
α = 77.82°, β = 87.78°, γ = 88.67°
Fractional positions:
La 0.5032 0.4204 0.6560
O 0.5226 0.8114 0.6623
La 0.9872 0.0278 0.2484
Co 0.5199 0.0816 0.0472
O 0.2288 0.1759 0.5281
O 0.8278 0.2678 0.0336
Ca 0.9492 0.8464 0.6184
O 0.2345 0.7291 0.4534
O 0.9229 0.4573 0.6781
O 0.4568 0.1030 0.2629
Sb 0.0048 0.6061 0.0432
O 0.3733 0.2601 0.8789
Co 0.9868 0.4445 0.4638
O 0.7286 0.1939 0.4914
Pb 0.4755 0.5584 0.2608
O 0.7454 0.7537 0.4214
O 0.7348 0.7941 0.0955
O 0.2295 0.8502 0.1022
Sb 0.4784 0.9731 0.4659
O 0.0295 0.4361 0.2434
Pb 0.0127 0.1467 0.8534

## Properties
total magnetization = 0.2834 μB per atom
excess energy over the best structure of this formula in the dataset = 6.5 meV per atom
total DFT energy (no corrections) = -136.1 eV/f.u.